1.
# PBE TlCdPb2, optimized geometry
data_TlCdPb2
_symmetry_space_group_name_H-M 'P m m m'
_symmetry_Int_Tables_number 47
_cell_length_a 4.551
_cell_length_b 5.064
_cell_length_c 5.105
_cell_angle_alpha 90.00
_cell_angle_beta 90.00
_cell_angle_gamma 90.00
loop_
_symmetry_equiv_pos_as_xyz
'x,y,z'
'-x,-y,-z'
'-x,-y,z'
'x,y,-z'
'x,-y,-z'
'-x,y,z'
'-x,y,-z'
'x,-y,z'
loop_
_atom_site_label
_atom_site_type_symbol
_atom_site_fract_x
_atom_site_fract_y
_atom_site_fract_z
Tl1 Tl 0.000 0.000 0.000
Cd1 Cd 0.500 0.000 0.500
Pb1 Pb 0.000 0.500 0.500
Pb2 Pb 0.500 0.500 0.000
# - energy of formation from the pure elements (eV per formula unit) = 0.17

---

2.
# PBE K4TbTc3O12, optimized geometry
data_K4TbTc3O12
_symmetry_space_group_name_H-M 'I m -3 m'
_symmetry_Int_Tables_number 229
_symmetry_space_group_name_Hall '-I 4 2 3'
_cell_length_a 8.114
_cell_length_b 8.114
_cell_length_c 8.114
_cell_angle_alpha 90.00
_cell_angle_beta 90.00
_cell_angle_gamma 90.00
loop_
_atom_site_label
_atom_site_type_symbol
_atom_site_fract_x
_atom_site_fract_y
_atom_site_fract_z
K1 K 0.250 0.250 0.250
Tb1 Tb 0.000 0.000 0.000
Tc1 Tc 0.000 0.000 0.500
O1 O 0.000 0.000 0.271
O2 O 0.000 0.250 0.500
# - raw total energy (eV per atom) = -6.745

---

3.
# PBE Zr6AlSi, optimized geometry
data_Zr6AlSi
_symmetry_space_group_name_H-M 'P 4/m m m'
_symmetry_Int_Tables_number 123
_symmetry_space_group_name_Hall '-P 4 2'
_cell_length_a 4.212
_cell_length_b 4.212
_cell_length_c 10.490
_cell_angle_alpha 90.00
_cell_angle_beta 90.00
_cell_angle_gamma 90.00
loop_
_atom_site_label
_atom_site_type_symbol
_atom_site_fract_x
_atom_site_fract_y
_atom_site_fract_z
Zr1 Zr 0.000 0.000 0.117
Zr2 Zr 0.000 0.500 0.336
Al1 Al 0.500 0.500 0.000
Si1 Si 0.500 0.500 0.500
# - raw total energy (eV per atom) = -7.361

---

4.
# PBE Ba2TaTiH, optimized geometry
data_Ba2TaTiH
_symmetry_space_group_name_H-M 'P 4/m m m'
_symmetry_Int_Tables_number 123
_symmetry_space_group_name_Hall '-P 4 2'
_cell_length_a 6.457
_cell_length_b 6.457
_cell_length_c 3.462
_cell_angle_alpha 90.00
_cell_angle_beta 90.00
_cell_angle_gamma 90.00
loop_
_atom_site_label
_atom_site_type_symbol
_atom_site_fract_x
_atom_site_fract_y
_atom_site_fract_z
Ba1 Ba 0.000 0.500 0.000
Ta1 Ta 0.000 0.000 0.500
Ti1 Ti 0.500 0.500 0.000
H1 H 0.500 0.500 0.500
# - raw total energy (eV per atom) = -4.235

---

5.
# PBE Zn2Cu2Te, optimized geometry
data_Zn2Cu2Te
_symmetry_space_group_name_H-M 'I 4/m m m'
_symmetry_Int_Tables_number 139
_symmetry_space_group_name_Hall '-I 4 2'
_cell_length_a 3.719
_cell_length_b 3.719
_cell_length_c 12.164
_cell_angle_alpha 90.00
_cell_angle_beta 90.00
_cell_angle_gamma 90.00
loop_
_atom_site_label
_atom_site_type_symbol
_atom_site_fract_x
_atom_site_fract_y
_atom_site_fract_z
Zn1 Zn 0.000 0.500 0.250
Cu1 Cu 0.000 0.000 0.103
Te1 Te 0.000 0.000 0.500
# - raw total energy (eV per atom) = -2.717

---

6.
# PBE TlBr3F, optimized geometry
data_TlBr3F
_symmetry_space_group_name_H-M 'P m -3 m'
_symmetry_Int_Tables_number 221
_symmetry_space_group_name_Hall '-P 4 2 3'
_cell_length_a 5.571
_cell_length_b 5.571
_cell_length_c 5.571
_cell_angle_alpha 90.00
_cell_angle_beta 90.00
_cell_angle_gamma 90.00
loop_
_atom_site_label
_atom_site_type_symbol
_atom_site_fract_x
_atom_site_fract_y
_atom_site_fract_z
Tl1 Tl 0.000 0.000 0.000
Br1 Br 0.000 0.000 0.500
F1 F 0.500 0.500 0.500
# - raw total energy (eV per atom) = -1.917

---

7.
# PBE Ti2VSn, optimized geometry
data_Ti2VSn
_symmetry_space_group_name_H-M 'P 1 2/m 1'
_symmetry_Int_Tables_number 10
_cell_length_a 4.469
_cell_length_b 3.364
_cell_length_c 9.200
_cell_angle_alpha 90.00
_cell_angle_beta 91.98
_cell_angle_gamma 90.00
loop_
_symmetry_equiv_pos_as_xyz
'x,y,z'
'-x,-y,-z'
'-x,y,-z'
'x,-y,z'
loop_
_atom_site_label
_atom_site_type_symbol
_atom_site_fract_x
_atom_site_fract_y
_atom_site_fract_z
Ti1 Ti 0.226 0.000 0.124
Ti2 Ti 0.247 0.500 0.390
V1 V 0.286 0.500 0.909
Sn1 Sn 0.258 0.000 0.662
# - energy of formation from the pure elements (eV per formula unit) = -0.71

---

8.
# PBE Ca2NiSnTe, optimized geometry
data_Ca2NiSnTe
_symmetry_space_group_name_H-M 'P 4/m m m'
_symmetry_Int_Tables_number 123
_symmetry_space_group_name_Hall '-P 4 2'
_cell_length_a 5.497
_cell_length_b 5.497
_cell_length_c 4.708
_cell_angle_alpha 90.00
_cell_angle_beta 90.00
_cell_angle_gamma 90.00
loop_
_atom_site_label
_atom_site_type_symbol
_atom_site_fract_x
_atom_site_fract_y
_atom_site_fract_z
Ca1 Ca 0.000 0.500 0.000
Ni1 Ni 0.000 0.000 0.000
Sn1 Sn 0.000 0.000 0.500
Te1 Te 0.500 0.500 0.500
# - raw total energy (eV per atom) = -3.962

---

9.
# PBE KLa2Pr3Se6, optimized geometry
data_KLa2Pr3Se6
_symmetry_space_group_name_H-M 'C 1 2/m 1'
_symmetry_Int_Tables_number 12
_cell_length_a 18.895
_cell_length_b 4.292
_cell_length_c 8.732
_cell_angle_alpha 90.00
_cell_angle_beta 103.68
_cell_angle_gamma 90.00
loop_
_symmetry_equiv_pos_as_xyz
'x,y,z'
'-x,-y,-z'
'-x,y,-z'
'x,-y,z'
'x+1/2,y+1/2,z'
'-x+1/2,-y+1/2,-z'
'-x+1/2,y+1/2,-z'
'x+1/2,-y+1/2,z'
loop_
_atom_site_label
_atom_site_type_symbol
_atom_site_fract_x
_atom_site_fract_y
_atom_site_fract_z
K1 K 0.000 0.000 0.000
La1 La 0.167 0.500 0.337
Pr1 Pr 0.000 0.000 0.500
Pr2 Pr 0.163 0.500 0.824
Se1 Se 0.001 0.500 0.262
Se2 Se 0.165 0.000 0.583
Se3 Se 0.172 0.000 0.082
# - raw total energy (eV per atom) = -5.699

---

10.
# PBE RbPdO3, optimized geometry
data_RbPdO3
_symmetry_space_group_name_H-M 'R -3'
_symmetry_Int_Tables_number 148
_symmetry_space_group_name_Hall '-R 3'
_cell_length_a 5.4681
_cell_length_b 5.4681
_cell_length_c 19.3082
_cell_angle_alpha 90.00
_cell_angle_beta 90.00
_cell_angle_gamma 120.00
loop_
_atom_site_label
_atom_site_type_symbol
_atom_site_fract_x
_atom_site_fract_y
_atom_site_fract_z
Rb1 Rb 0.0000 0.0000 0.1372
Pd1 Pd 0.0000 0.0000 0.3341
O1 O 0.0025 0.6068 0.9423
# - raw total energy (eV per atom) = -4.794

---

11.
# PBE BaHoTlSn, optimized geometry
data_BaHoTlSn
_symmetry_space_group_name_H-M 'F -4 3 m'
_symmetry_Int_Tables_number 216
_symmetry_space_group_name_Hall 'F -4 2 3'
_cell_length_a 8.030
_cell_length_b 8.030
_cell_length_c 8.030
_cell_angle_alpha 90.00
_cell_angle_beta 90.00
_cell_angle_gamma 90.00
loop_
_atom_site_label
_atom_site_type_symbol
_atom_site_fract_x
_atom_site_fract_y
_atom_site_fract_z
Ba1 Ba 0.000 0.000 0.000
Ho1 Ho 0.000 0.000 0.500
Tl1 Tl 0.250 0.250 0.750
Sn1 Sn 0.250 0.250 0.250
# - energy of formation from the pure elements (eV per formula unit) = -1.42

---

12.
# PBE CdIn2Au, optimized geometry
data_CdIn2Au
_symmetry_space_group_name_H-M 'I -4 m 2'
_symmetry_Int_Tables_number 119
_symmetry_space_group_name_Hall 'I -4 -2'
_cell_length_a 4.461
_cell_length_b 4.461
_cell_length_c 9.160
_cell_angle_alpha 90.00
_cell_angle_beta 90.00
_cell_angle_gamma 90.00
loop_
_atom_site_label
_atom_site_type_symbol
_atom_site_fract_x
_atom_site_fract_y
_atom_site_fract_z
Cd1 Cd 0.000 0.000 0.000
In1 In 0.000 0.000 0.500
In2 In 0.000 0.500 0.750
Au1 Au 0.000 0.500 0.250
# - energy of formation from the pure elements (eV per formula unit) = -0.11

---

What did the twelfth record say?
# PBE CdIn2Au, optimized geometry
data_CdIn2Au
_symmetry_space_group_name_H-M 'I -4 m 2'
_symmetry_Int_Tables_number 119
_symmetry_space_group_name_Hall 'I -4 -2'
_cell_length_a 4.461
_cell_length_b 4.461
_cell_length_c 9.160
_cell_angle_alpha 90.00
_cell_angle_beta 90.00
_cell_angle_gamma 90.00
loop_
_atom_site_label
_atom_site_type_symbol
_atom_site_fract_x
_atom_site_fract_y
_atom_site_fract_z
Cd1 Cd 0.000 0.000 0.000
In1 In 0.000 0.000 0.500
In2 In 0.000 0.500 0.750
Au1 Au 0.000 0.500 0.250
# - energy of formation from the pure elements (eV per formula unit) = -0.11

---

- Number 9 is which compound?
  KLa2Pr3Se6